# LaCoNF2 | Alexandria via LeMat-Bulk | PBE+U | optimized geometry
# * volume: 19.95 Å³ per atom
# * excess energy over the best structure of this formula in the dataset: 527.4 meV per atom
# * total magnetic moment: 1.843 μB per formula unit
data_LaCoNF2
_chemical_formula_sum 'La1 Co1 N1 F2'
_symmetry_space_group_name_H-M 'P 4/m m m'
_symmetry_Int_Tables_number 123
_symmetry_space_group_name_Hall '-P 4 2'
_cell_length_a 4.610
_cell_length_b 4.610
_cell_length_c 4.695
_cell_angle_alpha 90.00
_cell_angle_beta 90.00
_cell_angle_gamma 90.00
loop_
_atom_site_label
_atom_site_type_symbol
_atom_site_fract_x
_atom_site_fract_y
_atom_site_fract_z
La1 La 0.000 0.000 0.000
Co1 Co 0.500 0.500 0.500
N1 N 0.000 0.000 0.500
F1 F 0.000 0.500 0.000